No. 1
Compound: TaCd2
Source: OQMD
Functional: PBE-GGA
Structure: optimized geometry

Cell lengths 5.456, 5.456, 5.456 Å; angles 60.00, 60.00, 60.00 degrees
Positions (direct):
Ta 0.125 0.125 0.125
Ta 0.875 0.875 0.875
Cd 0.000 0.500 0.500
Cd 0.500 0.000 0.500
Cd 0.500 0.500 0.000
Cd 0.500 0.500 0.500

## Properties
ΔH_f (0 K)	0.48	eV/atom
final energy	-24.40	eV/cell


No. 2
Compound: TaCd2Tc4
Source: OQMD
Functional: PBE-GGA
Structure: optimized geometry

Cell lengths 6.322, 6.322, 6.322 Å; angles 98.88, 98.88, 133.73 degrees
Positions (direct):
Ta 0.000 0.000 0.000
Cd 0.250 0.750 0.500
Cd 0.750 0.250 0.500
Tc 0.303 0.500 0.803
Tc 0.500 0.303 0.803
Tc 0.500 0.697 0.197
Tc 0.697 0.500 0.197

## Properties
ΔH_f (0 K)	1.37	eV/atom
final energy	-45.46	eV/cell